# 1
MgSiH6 | PBE | optimized geometry Values from VASP.

Properties
* total magnetization: 0.0 μB/cell
* Fermi-level density of states: 0.00 states/eV/f.u.
* energy: -3.353 eV/atom

```
&SYSTEM
  ibrav = 0, nat = 8, ntyp = 3
/
ATOMIC_SPECIES
Mg 24.30 Mg.upf
Si 28.09 Si.upf
H 1.01 H.upf
CELL_PARAMETERS angstrom
2.213 -3.728 0.000
2.213 3.728 0.000
-1.025 0.000 4.197
ATOMIC_POSITIONS angstrom
Mg 0.000 0.000 0.000
Si 1.700 0.000 2.099
H 1.069 1.143 1.173
H 0.386 0.000 2.981
H 1.069 -1.143 1.173
H 2.331 1.143 3.024
H 3.014 0.000 1.216
H 2.331 -1.143 3.024
```

# 2
TmTlAu2 | PBE | optimized geometry Values from VASP.

Properties
* formation enthalpy at 0 K: -0.4432 eV/atom
* total magnetization: 0.0 μB/cell
* Fermi-level density of states: 2.07 states/eV/f.u.

```
&SYSTEM
  ibrav = 0, nat = 4, ntyp = 3
/
ATOMIC_SPECIES
Tm 168.93 Tm.upf
Tl 204.38 Tl.upf
Au 196.97 Au.upf
CELL_PARAMETERS angstrom
1.996 1.152 7.350
-1.996 1.152 7.350
0.000 -2.305 7.350
ATOMIC_POSITIONS angstrom
Tm 0.000 0.000 0.000
Tl 0.000 0.000 11.026
Au 0.000 0.000 5.581
Au 0.000 0.000 16.471
```